No. 1
Below is a geometry-optimized Tb2Al3Ge structure, with properties calculated at the GGA-PBE level.

The structure in POSCAR format:
```
Tb2Al3Ge
1.0
-1.604 2.798 2.239
-2.591 -2.958 1.841
5.199 -1.258 5.296
Tb Al Ge
2 3 1
Cartesian
-1.257 -1.488 0.959
2.567 -0.621 2.614
3.524 0.352 5.527
0.065 1.189 2.003
1.360 -0.917 5.562
-0.356 -0.502 3.814
```

Output
The total energy comes out at -28.355 eV per cell. The formation enthalpy at 0 K comes out at -542 meV/atom.

No. 2
Below is a geometry-optimized Er2Cu3Ni structure, with properties calculated at the GGA-PBE level.

The structure in POSCAR format:
```
Er2Cu3Ni
1.0
-2.235 0.634 3.800
-1.479 -4.930 -0.048
5.755 0.954 0.615
Er Cu Ni
2 3 1
Cartesian
0.465 -0.168 2.912
1.575 -3.174 1.456
2.971 -0.910 1.899
0.000 0.000 0.000
-0.931 -2.432 2.469
-0.740 -2.465 -0.024
```

Output
The total energy comes out at -27.306 eV per cell. The calculation puts the distance to the lowest polymorph of the same formula at 0.282 eV/atom. The formation enthalpy at 0 K comes out at -18 meV/atom.

No. 3
Below is a geometry-optimized Nd2ZnSb structure, with properties calculated at the GGA-PBE level.

The structure in POSCAR format:
```
Nd2ZnSb
1.0
4.881 0.000 0.000
2.441 4.227 0.000
2.441 1.409 5.679
Sb Zn Nd
1 1 2
Cartesian
0.000 0.000 0.000
4.881 2.818 2.840
7.322 4.227 4.212
2.441 1.409 1.468
```

Output
The total energy comes out at -17.222 eV per cell. The calculation puts the distance to the lowest polymorph of the same formula at 0.141 eV/atom. As for the formation energy without anion corrections: -0.57 eV per atom.

No. 4
Below is a geometry-optimized TlZnF3 structure, with properties calculated at the GGA-PBE level.

The structure in POSCAR format:
```
TlZnF3
1.0
3.839 0.000 4.487
-1.920 3.325 4.487
-1.920 -3.325 4.487
Tl Zn F
1 1 3
Cartesian
0.000 0.000 7.996
0.000 0.000 10.953
0.986 -1.707 6.584
-1.971 0.000 6.584
0.986 1.707 6.584
```

Output
The total energy comes out at -18.845 eV per cell. As for the formation energy without anion corrections: -1.92 eV per atom.

No. 5
Below is a geometry-optimized Cd4NiAg structure, with properties calculated at the GGA-PBE level.

The structure in POSCAR format:
```
Cd4NiAg
1.0
-5.215 -1.966 -0.151
-3.906 2.201 3.314
-4.086 3.100 -2.186
Cd Ni Ag
4 1 1
Cartesian
-7.558 0.271 0.291
-6.994 2.799 -0.724
-6.905 2.350 2.020
-4.956 1.252 0.367
-9.905 2.502 0.733
0.000 0.000 0.000
```

Output
The total energy comes out at -10.297 eV per cell. The calculation puts the distance to the lowest polymorph of the same formula at 0.329 eV/atom. The formation enthalpy at 0 K comes out at 333 meV/atom.

No. 6
Below is a geometry-optimized Pr2ZrAl structure, with properties calculated at the GGA-PBE level.

The structure in POSCAR format:
```
Pr2ZrAl
1.0
-0.568 -2.655 1.929
2.368 -2.309 0.395
4.759 4.200 10.060
Pr Al Zr
2 1 1
Cartesian
3.588 2.552 7.446
2.970 -3.316 4.938
3.279 -0.382 6.192
0.000 0.000 0.000
```

Output
The total energy comes out at -20.642 eV per cell. The calculation puts the distance to the lowest polymorph of the same formula at 0.377 eV/atom. The formation enthalpy at 0 K comes out at 302 meV/atom.